Entry from the Alexandria database: crystalline SmRuF at its relaxed geometry (PBE).

Unit cell a=3.9119 b=7.2399 c=7.8056 alpha=80.58 beta=90.00 gamma=90.00
Closest atoms and distances in Å follow each position.
Atoms (fractional coordinates):
Sm 0.7500 0.8380 0.2089  4 F 2.42-2.52
Sm 0.7500 0.3380 0.2089  4 F 2.42-2.52
Sm 0.2500 0.6620 0.7911  4 F 2.42-2.52
Sm 0.2500 0.1620 0.7911  4 F 2.42-2.52
F 0.7500 0.1231 0.9982  4 Sm 2.42-2.52, 4 F 2.64-2.69
F 0.7500 0.6231 0.9982  4 Sm 2.42-2.52, 4 F 2.64-2.69
F 0.2500 0.8769 0.0018  4 Sm 2.42-2.52, 4 F 2.64-2.69
F 0.2500 0.3769 0.0018  4 Sm 2.42-2.52, 4 F 2.64-2.69
Ru 0.2500 0.0907 0.4560  2 Ru 2.39
Ru 0.7500 0.9093 0.5440  2 Ru 2.39
Ru 0.2500 0.5907 0.4560  2 Ru 2.39
Ru 0.7500 0.4093 0.5440  2 Ru 2.39

## Properties
Crystal system   monoclinic
Formation energy from raw total energies   -1.685 eV/atom
Space group   P2_1/m


Entry from the Alexandria database: crystalline SnRu3F at its relaxed geometry (PBE).

Unit cell a=5.0178 b=5.0178 c=5.0178 alpha=90.00 beta=90.00 gamma=90.00
Closest atoms and distances in Å follow each position.
Atoms (fractional coordinates):
Sn 0.0000 0.0000 0.0000  6 Ru 2.51
Ru 0.5000 0.0000 0.0000  2 Sn 2.51
Ru 0.0000 0.0000 0.5000  2 Sn 2.51
Ru 0.0000 0.5000 0.0000  2 Sn 2.51
F 0.5000 0.5000 0.5000  12 Ru 3.55

## Properties
Crystal system   cubic
Formation energy from raw total energies   1.817 eV/atom
Space group   Pm-3m
E above lowest polymorph   1.0416 eV/atom


Entry from the Alexandria database: crystalline SnRu3F at its relaxed geometry (PBE).

Unit cell a=4.2654 b=4.2654 c=4.2654 alpha=90.00 beta=90.00 gamma=90.00
Closest atoms and distances in Å follow each position.
Atoms (fractional coordinates):
Sn 0.5000 0.5000 0.5000  12 Ru 3.02
F 0.0000 0.0000 0.0000  6 Ru 2.13
Ru 0.0000 0.5000 0.0000  2 F 2.13
Ru 0.0000 0.0000 0.5000  2 F 2.13
Ru 0.5000 0.0000 0.0000  2 F 2.13

## Properties
Crystal system   cubic
Formation energy from raw total energies   0.776 eV/atom
Space group   Pm-3m
E above lowest polymorph   0.0000 eV/atom


Entry from the Alexandria database: crystalline SnRu2F at its relaxed geometry (PBE).

Unit cell a=4.4481 b=4.4481 c=4.4481 alpha=60.00 beta=60.00 gamma=60.00
Closest atoms and distances in Å follow each position.
Atoms (fractional coordinates):
Ru 0.2500 0.2500 0.2500  4 Sn 2.72, 4 F 2.72
Ru 0.7500 0.7500 0.7500  4 F 2.72, 4 Sn 2.72
Sn 0.5000 0.5000 0.5000  8 Ru 2.72
F 0.0000 0.0000 0.0000  8 Ru 2.72

## Properties
Crystal system   cubic
Formation energy from raw total energies   0.189 eV/atom
Space group   Fm-3m
E above lowest polymorph   0.0824 eV/atom


Entry from the Alexandria database: crystalline SnRu2F at its relaxed geometry (PBE).

Unit cell a=3.9799 b=3.9799 c=8.9991 alpha=77.22 beta=77.22 gamma=90.00
Closest atoms and distances in Å follow each position.
Atoms (fractional coordinates):
Ru 0.3750 0.4596 0.7500  2 Ru 2.39, 2 F 2.45
Ru 0.5404 0.1250 0.2500  2 Ru 2.39, 2 F 2.45
Ru 0.8750 0.7904 0.7500  2 Ru 2.39, 2 F 2.45
Ru 0.2096 0.6250 0.2500  2 Ru 2.39, 2 F 2.45
Sn 0.7500 0.2500 0.5000  4 Ru 2.71, 4 F 2.81
Sn 0.0000 0.0000 0.0000  4 Ru 2.71, 4 F 2.81
F 0.5000 0.5000 0.0000  4 Ru 2.45
F 0.2500 0.7500 0.5000  4 Ru 2.45

## Properties
Crystal system   tetragonal
Formation energy from raw total energies   0.107 eV/atom
Space group   I-42d
E above lowest polymorph   0.0000 eV/atom


Entry from the Alexandria database: crystalline SnTeRu2F at its relaxed geometry (PBE).

Unit cell a=4.4373 b=4.5890 c=4.4373 alpha=90.00 beta=90.00 gamma=90.00
Closest atoms and distances in Å follow each position.
Atoms (fractional coordinates):
Sn 0.5000 0.5000 0.5000  4 Te 3.14, 8 Ru 3.19
Ru 0.0000 0.0000 0.5000  2 F 2.22
Ru 0.5000 0.0000 0.0000  2 F 2.22
F 0.0000 0.0000 0.0000  4 Ru 2.22, 2 Te 2.29
Te 0.0000 0.5000 0.0000  2 F 2.29

## Properties
Crystal system   tetragonal
Formation energy from raw total energies   0.744 eV/atom
Space group   P4/mmm